No. 1
The following is a GGA-PBE calculation of a geometry-optimized CrH2Ir structure, from Alexandria via LeMat-Bulk.

```
CrH2Ir
1.0
-0.953 -3.429 2.014
2.942 0.786 2.730
-1.782 0.841 4.741
H Ir Cr
4 2 2
Cartesian
-0.609 -0.365 5.318
-0.679 -1.856 2.798
1.280 0.295 3.131
0.423 -1.677 7.724
0.000 0.000 0.000
-0.870 -1.955 4.564
1.077 0.153 4.922
0.995 -1.322 2.372
```

Properties
- Energy above the most stable polymorph in this dataset: 0.051 eV per atom
- Space-group type: I-42d

No. 2
The following is a GGA-PBE calculation of a geometry-optimized RbBaO2 structure, from Alexandria via LeMat-Bulk.

```
RbBaO2
1.0
2.339 0.000 7.574
-1.169 2.025 7.574
-1.169 -2.025 7.574
O Rb Ba
2 1 1
Cartesian
0.000 0.000 2.437
0.000 0.000 20.287
0.000 0.000 0.000
0.000 0.000 11.362
```

Properties
- Formation energy (no corrections): -1400 meV/atom
- Space-group type: R-3m

No. 3
The following is a GGA-PBE calculation of a geometry-optimized TlH2Rh2 structure, from Alexandria via LeMat-Bulk.

```
TlH2Rh2
1.0
-2.920 1.106 0.756
0.349 -1.124 2.989
0.916 4.757 3.408
Rh H Tl
2 2 1
Cartesian
-0.597 1.481 2.353
-1.058 3.258 4.801
-0.011 1.812 4.135
-1.645 2.927 3.018
0.000 0.000 0.000
```

Properties
- Energy above the most stable polymorph in this dataset: 0.000 eV per atom
- Space-group type: I4/mmm

No. 4
The following is a GGA-PBE calculation of a geometry-optimized K3TePt structure, from Alexandria via LeMat-Bulk.

```
K3TePt
1.0
6.055 0.000 0.000
0.000 6.055 0.000
0.000 0.000 6.055
Te K Pt
1 3 1
Cartesian
3.027 3.027 3.027
0.000 3.027 0.000
3.027 0.000 0.000
0.000 0.000 3.027
0.000 0.000 0.000
```

Properties
- Energy above the most stable polymorph in this dataset: 0.000 eV per atom
- Formation energy (no corrections): -131 meV/atom
- Space-group type: Pm-3m

No. 5
The following is a GGA-PBE calculation of a geometry-optimized Zr2NiMo structure, from Alexandria via LeMat-Bulk.

```
Zr2NiMo
1.0
4.069 0.000 0.000
0.000 4.069 0.000
2.035 2.035 9.262
Zr Ni Mo
4 2 2
Cartesian
1.017 3.052 2.315
3.052 1.017 2.315
5.086 5.086 6.946
3.052 3.052 6.946
2.035 4.069 4.631
2.035 2.035 0.000
4.069 2.035 4.631
0.000 0.000 0.000
```

Properties
- Space-group type: I-42d
- Calculated formation energy: 61.1 kJ per mole of atoms

No. 6
The following is a GGA-PBE calculation of a geometry-optimized Nd5DySi4 structure, from Alexandria via LeMat-Bulk.

```
Nd5DySi4
1.0
5.063 0.000 0.000
0.000 6.449 -2.590
-2.531 -3.426 9.800
Si Nd Dy
4 5 1
Cartesian
2.531 1.432 7.709
0.000 1.592 -0.499
0.000 3.574 4.041
2.531 -0.551 3.170
2.531 -1.204 6.146
0.000 4.227 1.064
0.000 0.952 2.418
2.531 3.225 -1.295
2.531 2.071 4.793
2.531 0.000 0.000
```

Properties
- Formation energy (no corrections): -487 meV/atom
- Space-group type: C2/m

No. 7
The following is a GGA-PBE calculation of a geometry-optimized Ca4PuTe5 structure, from Alexandria via LeMat-Bulk.

```
Ca4PuTe5
1.0
-2.981 0.130 -3.370
-3.337 -0.764 2.922
1.424 16.080 2.365
Te Ca Pu
5 4 1
Cartesian
-3.159 -0.317 -0.224
-3.853 5.986 0.633
-1.041 9.459 1.285
-4.546 12.289 1.489
-0.347 3.157 0.429
-3.507 2.844 0.206
-4.199 9.136 1.061
-1.387 12.602 1.712
-0.694 6.309 0.857
0.000 0.000 0.000
```

Properties
- Formation energy (no corrections): -1518 meV/atom
- Space-group type: I4/mmm

No. 8
The following is a GGA-PBE calculation of a geometry-optimized NbNiS3 structure, from Alexandria via LeMat-Bulk.

```
NbNiS3
1.0
-2.654 -3.327 2.150
3.880 -2.705 0.603
0.799 2.085 4.213
S Nb Ni
3 1 1
Cartesian
-1.327 -1.664 1.075
1.940 -1.353 0.301
0.400 1.043 2.107
0.000 0.000 0.000
1.013 -1.974 3.483
```

Properties
- Energy above the most stable polymorph in this dataset: 0.846 eV per atom
- Formation energy (no corrections): 251 meV/atom
- Space-group type: Pm-3m

No. 9
The following is a GGA-PBE calculation of a geometry-optimized LaCr2Ni structure, from Alexandria via LeMat-Bulk.

```
LaCr2Ni
1.0
-2.447 -0.294 -1.827
0.964 -2.789 -0.841
-3.723 -2.934 5.461
Ni Cr La
1 2 1
Cartesian
-3.748 -3.911 3.076
-1.371 -2.037 -0.411
-0.013 -0.010 0.019
-1.936 -1.526 2.839
```

Properties
- Energy above the most stable polymorph in this dataset: 0.045 eV per atom
- Space-group type: P4mm
- Calculated formation energy: 27.8 kJ per mole of atoms

No. 10
The following is a GGA-PBE calculation of a geometry-optimized TlP2Rh structure, from Alexandria via LeMat-Bulk.

```
TlP2Rh
1.0
5.876 0.000 0.000
0.000 5.876 0.000
2.938 2.938 5.425
Rh P Tl
2 4 2
Cartesian
2.938 5.876 2.713
2.938 2.938 0.000
7.345 6.914 4.069
4.407 4.838 4.069
1.900 4.407 1.356
3.976 1.469 1.356
5.876 2.938 2.713
0.000 0.000 0.000
```

Properties
- Energy above the most stable polymorph in this dataset: 0.138 eV per atom
- Space-group type: I-42d
- Calculated formation energy: -2.8 kJ per mole of atoms

No. 11
The following is a GGA-PBE calculation of a geometry-optimized Zr4PaAg structure, from Alexandria via LeMat-Bulk.

```
Zr4PaAg
1.0
-0.405 1.492 2.912
-5.156 -0.902 -0.255
1.205 -7.524 2.155
Zr Pa Ag
4 1 1
Cartesian
0.108 -1.244 2.037
-2.701 -0.760 3.265
0.763 -5.654 4.387
-2.145 -3.893 3.083
0.632 -4.164 1.739
-1.610 -6.866 2.813
```

Properties
- Space-group type: Amm2
- Calculated formation energy: 3.0 kJ per mole of atoms

No. 12
The following is a GGA-PBE calculation of a geometry-optimized KIn6Pt structure, from Alexandria via LeMat-Bulk.

```
KIn6Pt
1.0
-0.814 -4.075 -2.319
4.677 -0.873 -0.106
-0.681 -4.667 8.439
In K Pt
6 1 1
Cartesian
1.830 -3.170 0.045
1.889 -3.515 5.514
-0.856 -5.116 4.407
2.107 -2.025 2.819
-0.638 -3.626 1.713
1.352 -6.446 5.969
0.000 0.000 0.000
-0.340 -2.334 4.219
```

Properties
- Space-group type: P4/mmm
- Calculated formation energy: -22.6 kJ per mole of atoms

No. 13
The following is a GGA-PBE calculation of a geometry-optimized Cs2AgHgO structure, from Alexandria via LeMat-Bulk.

```
Cs2AgHgO
1.0
-3.601 -4.907 -1.992
1.572 -3.290 5.265
-3.348 1.636 2.022
Hg O Cs Ag
1 1 2 1
Cartesian
-2.688 -3.281 2.647
0.000 0.000 0.000
-1.800 -2.454 -0.996
0.786 -1.645 2.632
-1.674 0.818 1.011
```

Properties
- Energy above the most stable polymorph in this dataset: 0.000 eV per atom
- Formation energy (no corrections): -451 meV/atom
- Space-group type: P4/mmm

No. 14
The following is a GGA-PBE calculation of a geometry-optimized TlRe2Ag structure, from Alexandria via LeMat-Bulk.

```
TlRe2Ag
1.0
-5.491 4.402 2.997
-5.321 -4.357 -3.349
-5.482 -1.528 1.962
Ag Re Tl
2 4 2
Cartesian
-8.104 -2.931 -0.781
-5.406 0.023 -0.176
-5.421 -2.524 -1.207
-13.534 -1.076 1.187
-8.203 -1.160 1.316
-5.429 1.794 1.924
0.000 0.000 0.000
-8.189 1.448 2.392
```

Properties
- Energy above the most stable polymorph in this dataset: 1.129 eV per atom
- Space-group type: I-42d
- Calculated formation energy: 153.6 kJ per mole of atoms

No. 15
The following is a GGA-PBE calculation of a geometry-optimized HPtAu2 structure, from Alexandria via LeMat-Bulk.

```
HPtAu2
1.0
-3.227 -2.356 -1.915
-4.183 1.457 0.129
-1.941 1.494 -3.693
Au Pt H
2 1 1
Cartesian
-2.338 0.149 -1.370
-7.013 0.446 -4.110
-4.675 0.297 -2.740
0.000 0.000 0.000
```

Properties
- Energy above the most stable polymorph in this dataset: 0.576 eV per atom
- Space-group type: Fm-3m

No. 16
The following is a GGA-PBE calculation of a geometry-optimized K2AlTe2O6 structure, from Alexandria via LeMat-Bulk.

```
K2AlTe2O6
1.0
6.116 0.000 0.000
3.058 5.296 0.000
3.058 1.765 5.643
Te O K Al
2 6 2 1
Cartesian
6.116 3.531 1.260
6.116 3.531 4.383
4.391 2.535 4.433
7.840 2.535 4.433
6.116 5.522 4.433
4.391 4.527 1.210
7.840 4.527 1.210
6.116 1.539 1.210
9.173 5.296 3.444
3.058 1.765 2.198
0.000 0.000 0.000
```

Properties
- Formation energy (no corrections): -1383 meV/atom
- Space-group type: R-3m

No. 17
The following is a GGA-PBE calculation of a geometry-optimized Zn3Cu4Ni structure, from Alexandria via LeMat-Bulk.

```
Zn3Cu4Ni
1.0
-2.517 0.152 -0.663
-0.956 -3.384 2.853
1.395 10.642 2.271
Ni Zn Cu
1 3 4
Cartesian
-1.258 0.076 -0.331
-1.911 2.908 2.795
-0.478 -1.692 1.427
-0.167 4.502 1.666
-0.814 4.832 4.201
-0.472 0.836 1.983
-1.606 6.574 2.479
-1.263 2.578 0.261
```

Properties
- Energy above the most stable polymorph in this dataset: 0.052 eV per atom
- Space-group type: C2/m
- Calculated formation energy: -6.1 kJ per mole of atoms

No. 18
The following is a GGA-PBE calculation of a geometry-optimized YHf2Co structure, from Alexandria via LeMat-Bulk.

```
YHf2Co
1.0
-2.014 1.752 3.997
-3.641 3.122 -0.313
-4.441 -1.354 1.245
Hf Co Y
2 1 1
Cartesian
-2.524 0.880 1.232
-7.572 2.640 3.697
0.000 0.000 0.000
-5.048 1.760 2.465
```

Properties
- Energy above the most stable polymorph in this dataset: 0.000 eV per atom
- Space-group type: Fm-3m
- Calculated formation energy: 33.1 kJ per mole of atoms

No. 19
The following is a GGA-PBE calculation of a geometry-optimized NaPuMgTl structure, from Alexandria via LeMat-Bulk.

```
NaPuMgTl
1.0
5.356 0.000 0.000
2.678 4.638 0.000
2.678 1.546 4.373
Na Tl Mg Pu
1 1 1 1
Cartesian
0.000 0.000 0.000
2.678 1.546 1.093
8.034 4.638 3.280
5.356 3.092 2.187
```

Properties
- Space-group type: F-43m
- Calculated formation energy: 14.8 kJ per mole of atoms

No. 20
The following is a GGA-PBE calculation of a geometry-optimized Ca3NdPu2N6 structure, from Alexandria via LeMat-Bulk.

```
Ca3NdPu2N6
1.0
3.536 0.000 0.000
0.000 7.036 0.275
-1.768 -2.004 7.359
Pu Ca N Nd
2 3 6 1
Cartesian
0.000 1.676 2.549
1.768 3.357 5.085
1.768 3.518 0.138
1.768 -0.148 4.927
0.000 5.180 2.707
1.768 0.129 2.496
0.000 4.904 5.139
1.768 3.284 7.310
1.768 3.270 2.783
0.000 1.763 4.851
0.000 1.749 0.325
1.768 0.000 0.000
```

Properties
- Formation energy (no corrections): -1176 meV/atom
- Space-group type: C2/m

No. 21
The following is a GGA-PBE calculation of a geometry-optimized TaNbSe3 structure, from Alexandria via LeMat-Bulk.

```
TaNbSe3
1.0
3.415 0.000 0.000
0.000 6.537 0.651
0.000 -2.318 9.480
Se Nb Ta
6 2 2
Cartesian
2.561 -0.395 9.640
0.854 5.424 4.016
0.854 4.615 0.492
0.854 2.202 3.205
2.561 -1.204 6.115
2.561 2.017 6.926
2.561 3.428 4.725
0.854 0.792 5.406
2.561 3.936 9.000
0.854 0.284 1.131
```

Properties
- Energy above the most stable polymorph in this dataset: 0.163 eV per atom
- Formation energy (no corrections): -589 meV/atom
- Space-group type: P2_1/m

No. 22
The following is a GGA-PBE calculation of a geometry-optimized Nb12Co3Ni5 structure, from Alexandria via LeMat-Bulk.

```
Nb12Co3Ni5
1.0
12.441 0.000 0.000
-4.147 11.730 0.000
-4.147 -5.865 10.158
Nb Co Ni
48 12 20
Cartesian
4.493 1.616 9.474
-4.173 4.727 9.556
-3.402 9.766 1.287
7.921 0.573 4.477
-2.447 6.523 7.814
5.476 8.930 2.735
7.549 -3.901 8.872
-4.892 3.065 7.423
8.320 1.138 0.602
2.419 4.464 1.057
2.818 5.028 4.022
-0.026 4.023 4.394
4.493 -1.401 9.101
2.047 -1.842 5.764
2.100 7.707 4.394
4.173 1.842 5.764
-0.373 0.658 2.344
8.640 5.650 1.742
-3.774 5.291 5.681
-1.700 -0.573 4.477
6.594 -0.658 2.344
-2.047 2.885 6.366
1.728 -1.616 9.474
5.476 1.964 1.287
-4.493 0.215 8.416
8.268 -2.885 6.366
-1.329 -3.065 7.423
-0.346 7.266 1.057
5.875 6.080 1.742
5.848 6.438 5.681
4.892 -0.836 6.136
-0.346 4.249 0.685
6.194 10.592 0.602
-2.047 -4.727 9.556
-0.745 6.701 4.022
9.039 2.800 2.735
2.447 1.232 3.337
3.774 -1.232 3.337
4.520 5.207 7.814
-1.728 -0.215 8.416
1.329 0.836 6.136
-1.329 3.901 8.872
0.373 7.096 6.821
1.728 1.401 9.101
1.700 4.633 6.821
2.419 7.481 0.685
6.194 2.980 3.793
-4.121 8.749 3.793
1.037 -0.733 3.809
-3.110 2.199 8.888
7.257 3.666 1.270
9.331 0.000 2.540
-3.110 -2.199 8.888
1.037 5.865 2.540
-5.184 5.865 7.619
3.110 6.598 6.349
3.110 0.000 7.619
7.257 8.064 1.270
5.184 0.733 3.809
-1.037 5.132 6.349
-2.074 5.865 0.000
4.147 5.865 0.000
-1.037 9.530 1.270
3.110 2.199 1.270
1.037 3.666 8.888
6.221 0.000 0.000
0.000 0.000 0.000
5.184 5.132 3.809
2.074 2.932 5.079
4.147 -2.932 5.079
-3.110 6.598 3.809
5.184 -3.666 8.888
-1.037 0.733 6.349
1.037 -2.932 7.619
3.110 8.797 2.540
-2.074 -2.932 5.079
7.257 -0.733 6.349
-1.037 2.932 2.540
5.184 2.932 7.619
-4.147 2.932 5.079
```

Properties
- Space-group type: Ia-3d
- Calculated formation energy: 63.0 kJ per mole of atoms

no.,calculated density (g cm⁻³)
1,11.53
2,3.93
3,12.12
4,3.29
5,7.30
6,6.01
7,5.34
8,3.79
9,7.36
10,6.55
11,8.73
12,7.00
13,5.64
14,14.71
15,15.92
16,4.15
17,8.43
18,10.68
19,7.58
20,7.51
21,7.82
22,7.10